Ca2PmSnN | PBE-GGA | relaxed

The structure in CIF format:
```
data_Ca2PmSnN
_chemical_formula_sum 'Ca2 Pm1 Sn1 N1'
_space_group_name_H-M_alt 'P 1'
_space_group_IT_number 1
_cell_length_a 4.874
_cell_length_b 4.874
_cell_length_c 5.003
_cell_angle_alpha 90.00
_cell_angle_beta 90.00
_cell_angle_gamma 90.00
loop_
_space_group_symop_operation_xyz
'x,y,z'
loop_
_atom_site_label
_atom_site_type_symbol
_atom_site_fract_x
_atom_site_fract_y
_atom_site_fract_z
Ca1 Ca 0.000 0.500 0.000
Ca2 Ca 0.500 0.000 0.000
Pm1 Pm 0.000 0.000 0.500
Sn1 Sn 0.500 0.500 0.500
N1 N 0.000 0.000 0.000
```

Formation energy (no corrections) (eV per atom): -0.983
D(E_F) (states/eV/f.u.): 0.3
M_tot (μB/f.u.): 0.00